Entry 1:
## TaCr2IrN (PBE)

Data for a geometry-optimized TaCr2IrN structure.

Computed properties:
energy relative to the elements, uncorrected	-0.463	eV per atom
space group	No. 123

a b c (Å): 3.8665 3.8665 4.1911
angles (deg): 90.00 90.00 90.00
Positions (direct):
Ta 0.0000 0.0000 0.0000
Cr 0.0000 0.5000 0.5000
Cr 0.5000 0.0000 0.5000
Ir 0.5000 0.5000 0.0000
N 0.0000 0.0000 0.5000

***

Entry 2:
## CrTe2IrN (PBE)

Data for a geometry-optimized CrTe2IrN structure.

Computed properties:
excess energy over the best structure of this formula in the dataset	344	meV/atom
energy relative to the elements, uncorrected	0.867	eV per atom
space group	No. 123

a b c (Å): 5.4514 5.4514 3.6347
angles (deg): 90.00 90.00 90.00
Positions (direct):
Cr 0.0000 0.0000 0.0000
Te 0.0000 0.5000 0.5000
Te 0.5000 0.0000 0.5000
Ir 0.5000 0.5000 0.5000
N 0.5000 0.5000 0.0000

***

Entry 3:
## CrTe2IrN (PBE)

Data for a geometry-optimized CrTe2IrN structure.

Computed properties:
excess energy over the best structure of this formula in the dataset	0	meV/atom
energy relative to the elements, uncorrected	0.523	eV per atom
space group	No. 123

a b c (Å): 5.1874 5.1874 3.4486
angles (deg): 90.00 90.00 90.00
Positions (direct):
Cr 0.0000 0.0000 0.0000
Te 0.0000 0.5000 0.0000
Te 0.5000 0.0000 0.0000
Ir 0.5000 0.5000 0.5000
N 0.0000 0.0000 0.5000

***

Entry 4:
## Cr2TeIrN (PBE)

Data for a geometry-optimized Cr2TeIrN structure.

Computed properties:
energy relative to the elements, uncorrected	1.876	eV per atom
space group	No. 123

a b c (Å): 5.0298 5.0298 4.0194
angles (deg): 90.00 90.00 90.00
Positions (direct):
Cr 0.0000 0.5000 0.0000
Cr 0.5000 0.0000 0.0000
Te 0.0000 0.0000 0.0000
Ir 0.5000 0.5000 0.5000
N 0.0000 0.0000 0.5000

***

| no. | magnetization (μB/f.u.) |
| --- | --- |
| 1 | 2.0 |
| 2 | 0.0 |
| 3 | 1.2 |
| 4 | 6.1 |